# PBE CaDyPu2As4, relaxed
data_CaDyPu2As4
_chemical_formula_sum 'Ca1 Dy1 Pu2 As4'
_cell_length_a 4.161
_cell_length_b 7.144
_cell_length_c 7.223
_cell_angle_alpha 70.42
_cell_angle_beta 90.00
_cell_angle_gamma 90.00
_symmetry_space_group_name_H-M 'P 1'
_symmetry_Int_Tables_number 1
loop_
_symmetry_equiv_pos_as_xyz
'x,y,z'
loop_
_atom_site_label
_atom_site_type_symbol
_atom_site_fract_x
_atom_site_fract_y
_atom_site_fract_z
Pu1 Pu 0.500 0.000 0.500
Pu2 Pu 0.000 0.000 0.000
Dy1 Dy 0.000 0.500 0.500
Ca1 Ca 0.500 0.500 0.000
As1 As 0.500 0.757 0.252
As2 As 0.500 0.243 0.748
As3 As 0.000 0.236 0.260
As4 As 0.000 0.764 0.740
# * magnetization: 9.0 μB per cell
# * DFT formation energy: -1.153 eV/atom

***

# PBE Sr2DyPuN4, relaxed
data_Sr2DyPuN4
_chemical_formula_sum 'Sr2 Dy1 Pu1 N4'
_cell_length_a 3.587
_cell_length_b 6.083
_cell_length_c 6.307
_cell_angle_alpha 108.33
_cell_angle_beta 90.00
_cell_angle_gamma 90.00
_symmetry_space_group_name_H-M 'P 1'
_symmetry_Int_Tables_number 1
loop_
_symmetry_equiv_pos_as_xyz
'x,y,z'
loop_
_atom_site_label
_atom_site_type_symbol
_atom_site_fract_x
_atom_site_fract_y
_atom_site_fract_z
Dy1 Dy 0.500 0.500 0.000
Pu1 Pu 0.000 0.000 0.000
Sr1 Sr 0.500 0.000 0.500
Sr2 Sr 0.000 0.500 0.500
N1 N 0.500 0.228 0.207
N2 N 0.000 0.238 0.801
N3 N 0.000 0.762 0.199
N4 N 0.500 0.772 0.793
# * magnetization: 3.0 μB per cell
# * formation energy without anion corrections: -1.1152 eV/atom

***

# PBE Ce2PrCuS5, relaxed
data_Ce2PrCuS5
_chemical_formula_sum 'Ce4 Pr2 Cu2 S10'
_cell_length_a 3.937
_cell_length_b 8.518
_cell_length_c 12.077
_cell_angle_alpha 90.00
_cell_angle_beta 90.00
_cell_angle_gamma 103.36
_symmetry_space_group_name_H-M 'P 1'
_symmetry_Int_Tables_number 1
loop_
_symmetry_equiv_pos_as_xyz
'x,y,z'
loop_
_atom_site_label
_atom_site_type_symbol
_atom_site_fract_x
_atom_site_fract_y
_atom_site_fract_z
Cu1 Cu 0.494 0.988 0.989
Cu2 Cu 0.506 0.012 0.489
S1 S 0.307 0.613 0.660
S2 S 0.025 0.051 0.080
S3 S 0.975 0.949 0.580
S4 S 0.693 0.387 0.160
S5 S 0.509 0.018 0.799
S6 S 0.491 0.982 0.299
S7 S 0.298 0.596 0.325
S8 S 0.649 0.298 0.497
S9 S 0.702 0.404 0.825
S10 S 0.351 0.702 0.997
Pr1 Pr 0.823 0.646 0.492
Pr2 Pr 0.177 0.354 0.992
Ce1 Ce 0.883 0.766 0.805
Ce2 Ce 0.117 0.234 0.305
Ce3 Ce 0.874 0.748 0.178
Ce4 Ce 0.126 0.252 0.678
# * magnetization: 3.5 μB per cell
# * formation energy without anion corrections: -1.6883 eV/atom

***

# PBE Na3CdH6Pt2, relaxed
data_Na3CdH6Pt2
_chemical_formula_sum 'Na3 Cd1 H6 Pt2'
_cell_length_a 5.133
_cell_length_b 5.133
_cell_length_c 6.333
_cell_angle_alpha 90.00
_cell_angle_beta 90.00
_cell_angle_gamma 120.00
_symmetry_space_group_name_H-M 'P 1'
_symmetry_Int_Tables_number 1
loop_
_symmetry_equiv_pos_as_xyz
'x,y,z'
loop_
_atom_site_label
_atom_site_type_symbol
_atom_site_fract_x
_atom_site_fract_y
_atom_site_fract_z
H1 H 0.642 0.821 0.287
H2 H 0.179 0.358 0.287
H3 H 0.821 0.179 0.713
H4 H 0.821 0.642 0.713
H5 H 0.358 0.179 0.713
H6 H 0.179 0.821 0.287
Na1 Na 0.667 0.333 0.321
Na2 Na 0.000 0.000 0.000
Na3 Na 0.333 0.667 0.679
Pt1 Pt 0.333 0.667 0.136
Pt2 Pt 0.667 0.333 0.864
Cd1 Cd 0.000 0.000 0.500
# * magnetization: 0.0 μB per cell
# * total energy: -3.20 eV/atom